VASP calculation (PBE) on NaNdTlPb after structural relaxation.

Cell: 5.482 5.482 5.482 Å, 60.00 60.00 60.00°
Positions (direct):
Pb: 0.750 0.750 0.750
Na: 0.000 0.000 0.000
Tl: 0.250 0.250 0.250
Nd: 0.500 0.500 0.500

Results
ρ = 8.3 g cm⁻³
raw total energy = -13.28 eV for the cell shown

VASP calculation (PBE) on NaNdTlPb after structural relaxation.

Cell: 4.411 4.994 5.235 Å, 90.00 90.00 90.00°
Positions (direct):
Na: 0.000 0.500 0.500
Nd: 0.000 0.000 0.000
Tl: 0.500 0.000 0.500
Pb: 0.500 0.500 0.000

Results
ρ = 8.3 g cm⁻³
raw total energy = -13.47 eV for the cell shown

VASP calculation (PBE) on Na2NdPd6 after structural relaxation.

Cell: 6.514 6.514 6.514 Å, 60.00 60.00 60.00°
Positions (direct):
Na: 0.250 0.250 0.250
Na: 0.750 0.750 0.750
Nd: 0.000 0.000 0.000
Pd: 0.711 0.711 0.289
Pd: 0.289 0.711 0.711
Pd: 0.289 0.711 0.289
Pd: 0.289 0.289 0.711
Pd: 0.711 0.289 0.289
Pd: 0.711 0.289 0.711

Results
ρ = 7.0 g cm⁻³
raw total energy = -38.58 eV for the cell shown

VASP calculation (PBE) on NaNdPd2 after structural relaxation.

Cell: 3.528 3.528 7.183 Å, 90.00 90.00 90.00°
Positions (direct):
Na: 0.500 0.500 0.500
Nd: 0.500 0.500 0.000
Pd: 0.000 0.000 0.761
Pd: 0.000 0.000 0.239

Results
ρ = 7.1 g cm⁻³
raw total energy = -18.25 eV for the cell shown

VASP calculation (PBE) on NaNd2Pd after structural relaxation.

Cell: 3.608 3.608 9.397 Å, 90.00 90.00 90.00°
Positions (direct):
Na: 0.500 0.500 0.500
Nd: 0.000 0.000 0.816
Nd: 0.000 0.000 0.184
Pd: 0.500 0.500 0.000

Results
ρ = 5.7 g cm⁻³
raw total energy = -17.11 eV for the cell shown

VASP calculation (PBE) on Na3NdPd8 after structural relaxation.

Cell: 5.425 5.425 9.391 Å, 73.21 73.21 60.00°
Positions (direct):
Na: 0.374 0.374 0.878
Na: 0.006 0.006 0.983
Na: 0.493 0.493 0.520
Nd: 0.876 0.876 0.373
Pd: 0.935 0.438 0.189
Pd: 0.441 0.938 0.684
Pd: 0.438 0.438 0.189
Pd: 0.938 0.938 0.684
Pd: 0.187 0.187 0.438
Pd: 0.688 0.688 0.937
Pd: 0.438 0.935 0.189
Pd: 0.938 0.441 0.684

Results
ρ = 7.8 g cm⁻³
raw total energy = -54.88 eV for the cell shown

VASP calculation (PBE) on NaNd2Pd after structural relaxation.

Cell: 4.136 4.136 10.954 Å, 79.12 79.12 60.00°
Positions (direct):
Na: 0.000 0.000 0.000
Nd: 0.117 0.117 0.648
Nd: 0.883 0.883 0.352
Pd: 0.500 0.500 0.500

Results
ρ = 4.4 g cm⁻³
raw total energy = -16.60 eV for the cell shown

VASP calculation (PBE) on Na2Nd2Pd15 after structural relaxation.

Cell: 7.038 7.038 7.038 Å, 82.26 82.26 82.26°
Positions (direct):
Na: 0.092 0.092 0.092
Na: 0.908 0.908 0.908
Nd: 0.348 0.348 0.348
Nd: 0.652 0.652 0.652
Pd: 0.500 0.000 0.000
Pd: 0.000 0.000 0.500
Pd: 0.000 0.500 0.000
Pd: 0.000 0.676 0.324
Pd: 0.676 0.324 0.000
Pd: 0.324 0.000 0.676
Pd: 0.324 0.676 0.000
Pd: 0.676 0.000 0.324
Pd: 0.000 0.324 0.676
Pd: 0.167 0.659 0.659
Pd: 0.659 0.659 0.167
Pd: 0.659 0.167 0.659
Pd: 0.833 0.341 0.341
Pd: 0.341 0.341 0.833
Pd: 0.341 0.833 0.341

Results
ρ = 9.4 g cm⁻³
raw total energy = -96.98 eV for the cell shown